[1]
# Nb4Re2W, optimized geometry, DFT PBE
data_Nb4Re2W
_cell_length_a 5.506
_cell_length_b 5.506
_cell_length_c 5.506
_cell_angle_alpha 109.80
_cell_angle_beta 109.31
_cell_angle_gamma 109.31
_symmetry_space_group_name_H-M 'P 1'
_symmetry_Int_Tables_number 1
_symmetry_space_group_name_Hall 'P 1'
loop_
_atom_site_label
_atom_site_fract_x
_atom_site_fract_y
_atom_site_fract_z
Re1 0.500 0.000 0.500
Nb1 0.000 0.500 0.000
Nb2 0.000 0.000 0.500
Re2 0.500 0.500 0.000
W1 0.000 0.000 0.000
Nb3 0.500 0.000 0.000
Nb4 0.500 0.500 0.500
# - V: 18.4 Å³ per atom
# - Symmetry: I4/mmm (139)
# - Electronic total energy: -0.812 Ry/atom

[2]
# PrBi2Au, optimized geometry, DFT PBE
data_PrBi2Au
_cell_length_a 4.785
_cell_length_b 4.785
_cell_length_c 10.345
_cell_angle_alpha 103.37
_cell_angle_beta 103.37
_cell_angle_gamma 90.00
_symmetry_space_group_name_H-M 'P 1'
_symmetry_Int_Tables_number 1
_symmetry_space_group_name_Hall 'P 1'
loop_
_atom_site_label
_atom_site_fract_x
_atom_site_fract_y
_atom_site_fract_z
Au1 0.750 0.250 0.500
Pr1 0.134 0.134 0.268
Bi1 0.000 0.500 0.000
Pr2 0.866 0.866 0.732
Au2 0.250 0.750 0.500
Bi2 0.653 0.653 0.306
Bi3 0.347 0.347 0.694
Bi4 0.500 0.000 0.000
# - V: 28.0 Å³ per atom
# - Symmetry: I4/mmm (139)
# - Electronic total energy: -0.333 Ry/atom

[3]
# ZrCdPb2, optimized geometry, DFT PBE
data_ZrCdPb2
_cell_length_a 3.328
_cell_length_b 5.810
_cell_length_c 5.366
_cell_angle_alpha 90.00
_cell_angle_beta 90.00
_cell_angle_gamma 90.00
_symmetry_space_group_name_H-M 'P 1'
_symmetry_Int_Tables_number 1
_symmetry_space_group_name_Hall 'P 1'
loop_
_atom_site_label
_atom_site_fract_x
_atom_site_fract_y
_atom_site_fract_z
Cd1 0.000 0.500 0.500
Pb1 0.500 0.500 0.000
Zr1 0.500 0.000 0.500
Pb2 0.000 0.000 0.000
# - V: 25.9 Å³ per atom
# - Symmetry: Pmmm (47)
# - Electronic total energy: -0.304 Ry/atom

[4]
# ZnCoNi3, optimized geometry, DFT PBE
data_ZnCoNi3
_cell_length_a 4.110
_cell_length_b 6.703
_cell_length_c 4.370
_cell_angle_alpha 109.32
_cell_angle_beta 90.00
_cell_angle_gamma 90.00
_symmetry_space_group_name_H-M 'P 1'
_symmetry_Int_Tables_number 1
_symmetry_space_group_name_Hall 'P 1'
loop_
_atom_site_label
_atom_site_fract_x
_atom_site_fract_y
_atom_site_fract_z
Ni1 0.250 0.294 0.722
Zn1 0.750 0.303 0.069
Ni2 0.250 0.098 0.133
Zn2 0.250 0.697 0.931
Co1 0.250 0.907 0.534
Ni3 0.250 0.505 0.337
Ni4 0.750 0.495 0.663
Co2 0.750 0.093 0.466
Ni5 0.750 0.902 0.867
Ni6 0.750 0.706 0.278
# - V: 11.4 Å³ per atom
# - Symmetry: P2_1/m (11)
# - Electronic total energy: -0.382 Ry/atom